No. 1
# TaCr2Ni

Crystalline TaCr2Ni at its relaxed geometry (GGA-PBE, the Alexandria database).

abc: 4.7928 4.7928 4.7928
angles: 141.91 127.79 66.43
Atoms (fractional coordinates):
Cr 0.9827 0.9827 0.0000
Cr 0.7668 0.2668 0.5000
Ni 0.5073 0.5073 0.0000
Ta 0.2432 0.7432 0.5000

offset from the most stable computed form = 57.8 meV/atom
M_tot = 0.16 μB per formula unit
DFT formation energy = 2.06 kcal/mol of atoms

=====

No. 2
# TaCr2Ni

Crystalline TaCr2Ni at its relaxed geometry (GGA-PBE, the Alexandria database).

abc: 4.1077 3.5805 3.5805
angles: 90.00 90.00 90.00
Atoms (fractional coordinates):
Cr 0.0000 0.0000 0.0000
Cr 0.0000 0.5000 0.5000
Ni 0.5000 0.5000 0.0000
Ta 0.5000 0.0000 0.5000

offset from the most stable computed form = 75.0 meV/atom
M_tot = 0.00 μB per formula unit
DFT formation energy = 2.46 kcal/mol of atoms

=====

No. 3
# TaCr2Ni

Crystalline TaCr2Ni at its relaxed geometry (GGA-PBE, the Alexandria database).

abc: 3.0428 3.0428 5.8010
angles: 90.00 90.00 90.00
Atoms (fractional coordinates):
Cr 0.0000 0.0000 0.0219
Cr 0.5000 0.5000 0.2411
Ni 0.0000 0.0000 0.4911
Ta 0.5000 0.5000 0.7459

offset from the most stable computed form = 0.0 meV/atom
M_tot = 1.55 μB per formula unit
DFT formation energy = 0.73 kcal/mol of atoms

=====

No. 4
# Ta2CrNi

Crystalline Ta2CrNi at its relaxed geometry (GGA-PBE, the Alexandria database).

abc: 5.0050 5.0050 5.0050
angles: 135.75 135.75 64.37
Atoms (fractional coordinates):
Cr 0.5000 0.5000 0.0000
Ni 0.7500 0.2500 0.5000
Ta 0.0000 0.0000 0.0000
Ta 0.2500 0.7500 0.5000

M_tot = 1.29 μB per formula unit
DFT formation energy = 2.22 kcal/mol of atoms

=====

No. 5
# Ta2CrNi

Crystalline Ta2CrNi at its relaxed geometry (GGA-PBE, the Alexandria database).

abc: 3.8745 3.8745 9.1604
angles: 77.79 77.79 90.00
Atoms (fractional coordinates):
Ni 0.0000 0.0000 0.0000
Ni 0.7500 0.2500 0.5000
Cr 0.5000 0.5000 0.0000
Cr 0.2500 0.7500 0.5000
Ta 0.6218 0.1250 0.2500
Ta 0.1282 0.6250 0.2500
Ta 0.3750 0.3782 0.7500
Ta 0.8750 0.8718 0.7500

M_tot = 0.00 μB per formula unit
DFT formation energy = 17.87 kcal/mol of atoms

=====

No. 6
# TaCr2Ni

Crystalline TaCr2Ni at its relaxed geometry (GGA-PBE, the Alexandria database).

abc: 4.0656 4.0656 3.2296
angles: 90.00 90.00 90.00
Atoms (fractional coordinates):
Cr 0.0000 0.0000 0.0000
Cr 0.5000 0.5000 0.0000
Ni 0.5000 0.0000 0.5000
Ta 0.0000 0.5000 0.5000

offset from the most stable computed form = 133.0 meV/atom
M_tot = 2.70 μB per formula unit
DFT formation energy = 3.80 kcal/mol of atoms